# 1
PBE-GGA Al3O4, relaxed; spin magnetization = 0.19 μB per cell; electronic total energy = -7.04 eV per atom; uncorrected formation energy = -252 kJ per mole of atoms
1.0
5.797 -1.461 0.000
5.797 1.461 0.000
-1.476 0.000 4.234
Al O
3 4
Direct
0.000 0.000 0.000
0.321 0.321 0.342
0.679 0.679 0.658
0.155 0.155 0.394
0.437 0.437 0.168
0.563 0.563 0.832
0.845 0.845 0.606

***

# 2
PBE-GGA AlO2, relaxed; spin magnetization = 1.95 μB per cell; electronic total energy = -6.65 eV per atom; uncorrected formation energy = -202 kJ per mole of atoms
1.0
1.489 -5.394 0.000
1.489 5.394 0.000
0.000 0.000 3.643
Al O
2 4
Direct
0.168 0.832 0.750
0.832 0.168 0.250
0.206 0.794 0.250
0.439 0.561 0.250
0.561 0.439 0.750
0.794 0.206 0.750

***

# 3
PBE-GGA AlO, relaxed; spin magnetization = 0.00 μB per cell; electronic total energy = -6.03 eV per atom; uncorrected formation energy = -162 kJ per mole of atoms
1.0
2.964 0.000 0.000
-1.482 2.567 0.000
0.000 0.000 6.069
Al O
2 2
Direct
0.333 0.667 0.000
0.667 0.333 0.500
0.333 0.667 0.651
0.667 0.333 0.151

***

# 4
PBE-GGA AlO2, relaxed; spin magnetization = 2.01 μB per cell; electronic total energy = -6.59 eV per atom; uncorrected formation energy = -197 kJ per mole of atoms
1.0
1.737 -2.580 0.000
1.737 2.580 0.000
0.000 0.000 7.083
Al O
2 4
Direct
0.074 0.926 0.750
0.926 0.074 0.250
0.000 0.000 0.000
0.000 0.000 0.500
0.432 0.568 0.750
0.568 0.432 0.250

***

# 5
PBE-GGA AlO, relaxed; spin magnetization = 0.00 μB per cell; electronic total energy = -6.41 eV per atom; uncorrected formation energy = -199 kJ per mole of atoms
1.0
-3.947 3.947 1.476
3.947 -3.947 1.476
3.947 3.947 -1.476
Al O
4 4
Direct
0.081 0.762 0.844
0.238 0.081 0.319
0.762 0.919 0.681
0.919 0.238 0.156
0.143 0.335 0.478
0.335 0.857 0.192
0.665 0.143 0.808
0.857 0.665 0.522

***

# 6
PBE-GGA AlOsO, relaxed; spin magnetization = 0.00 μB per cell; electronic total energy = -7.17 eV per atom; uncorrected formation energy = -51 kJ per mole of atoms
1.0
4.471 -2.082 0.000
4.471 2.082 0.000
-2.821 0.000 4.341
Al Os O
2 2 2
Direct
0.185 0.185 0.111
0.815 0.815 0.889
0.496 0.496 0.251
0.504 0.504 0.749
0.048 0.048 0.281
0.952 0.952 0.719